Entry from Alexandria: a geometry-optimized GaCuTe2 structure (GGA-PBE).

a = 3.7423 Å, b = 3.7423 Å, c = 27.1948 Å
α = 90.00°, β = 90.00°, γ = 120.00°
Space group R-3m (No. 166, hexagonal axes)
Unique sites:
Ga (0.0000, 0.0000, 0.0000) x3
Cu (0.0000, 0.0000, 0.5000) x3
Te (0.0000, 0.0000, 0.1099) x6

As for the magnetization: 0.00 μB/f.u. The total energy comes out at -37.94 eV for the cell shown.